Entry 1:
Here is a relaxed structure of TaZnIr from Alexandria. Energies are from PBE.

Output
calculated formation energy	0.2335	eV/atom
theoretical density	13.01	Mg/m³
raw total energy	-21.287	eV/f.u.
crystal system	cubic
N(E_F)	0.666	states/eV per atom

a b c (Å): 6.0726 6.0726 6.0726
angles (deg): 90.00 90.00 90.00
With the nearest neighbours (Å) after each atom.
Space group F-43m (No. 216)
Symmetry-distinct sites (fractional):
Ta  0.0000  0.0000  0.0000 x4  4 Ir 2.63, 4 Zn 2.63
Zn  0.2500  0.2500  0.2500 x4  4 Ta 2.63
Ir  0.2500  0.2500  0.7500 x4  4 Ta 2.63

***

Entry 2:
Here is a relaxed structure of ZrNbCo4 from Alexandria. Energies are from PBE.

Output
calculated formation energy	-0.2149	eV/atom
theoretical density	8.78	Mg/m³
raw total energy	-48.331	eV/f.u.
crystal system	cubic
N(E_F)	1.486	states/eV per atom

a b c (Å): 6.8225 6.8225 6.8225
angles (deg): 90.00 90.00 90.00
With the nearest neighbours (Å) after each atom.
Space group F-43m (No. 216)
Symmetry-distinct sites (fractional):
Zr  0.0000  0.0000  0.0000 x4  12 Co 2.83, 4 Nb 2.95
Nb  0.2500  0.2500  0.2500 x4  12 Co 2.83, 4 Zr 2.95
Co  0.1252  0.1252  0.6252 x16  6 Co 2.41-2.42

***

Entry 3:
Here is a relaxed structure of AcTbPr6Y2 from Alexandria. Energies are from PBE.

Output
calculated formation energy	0.1170	eV/atom
theoretical density	6.45	Mg/m³
raw total energy	-49.173	eV/f.u.
crystal system	monoclinic
N(E_F)	1.449	states/eV per atom

a b c (Å): 9.6161 15.4665 9.8072
angles (deg): 90.00 95.52 90.00
With the nearest neighbours (Å) after each atom.
Space group C2/c (No. 15)
Symmetry-distinct sites (fractional):
Ac  0.0000  0.0345  0.2500 x4  4 Y 3.54-3.67, 6 Pr 3.69-3.84
Tb  0.0000  0.4113  0.7500 x4  6 Pr 3.52-3.64, 2 Y 3.61
Pr  0.0643  0.1787  0.9435 x8  7 Pr 3.55-3.91, 1 Y 3.68, 2 Ac 3.82-3.84
Pr  0.0935  0.3872  0.1171 x8  4 Pr 3.31-3.64, 3 Y 3.39-3.57, 2 Tb 3.53-3.64
Pr  0.2233  0.2265  0.3178 x8  4 Pr 3.34-3.73, 1 Tb 3.52, 2 Y 3.56-3.69, 1 Ac 3.69
Y  0.2433  0.4502  0.4493 x8  6 Pr 3.39-3.69, 2 Ac 3.54-3.67, 1 Tb 3.61

***

Entry 4:
Here is a relaxed structure of Ba5Br3F12 from Alexandria. Energies are from PBE.

Output
theoretical density	3.78	Mg/m³
raw total energy	-88.484	eV/f.u.
formation energy without anion corrections	-2.5698	eV per atom
crystal system	cubic
N(E_F)	0.388	states/eV per atom

a b c (Å): 15.9551 15.9551 15.9551
angles (deg): 90.00 90.00 90.00
With the nearest neighbours (Å) after each atom.
Space group Ia-3d (No. 230)
Symmetry-distinct sites (fractional):
Ba  0.0000  0.0000  0.0000 x16  6 F 2.60
Ba  0.0000  0.2500  0.3750 x24  4 F 2.50
Br  0.0000  0.2500  0.1250 x24  4 F 2.90
F  0.0473  0.0749  0.6366 x96  2 Ba 2.50-2.60

***

Entry 5:
Here is a relaxed structure of Sb2F13 from Alexandria. Energies are from PBE.

Output
theoretical density	3.16	Mg/m³
raw total energy	-59.020	eV/f.u.
distance to the lowest polymorph of the same formula	0.00	eV/f.u.
formation energy without anion corrections	-1.7632	eV per atom
crystal system	triclinic
N(E_F)	1.205	states/eV per atom

a b c (Å): 5.4403 6.9333 7.7606
angles (deg): 116.34 94.09 96.90
With the nearest neighbours (Å) after each atom.
Space group P-1 (No. 2)
Symmetry-distinct sites (fractional):
Sb  0.1767  0.1560  0.2840 x2  6 F 1.89-2.07
F  0.0000  0.0000  0.0000 x1  2 Sb 2.07
F  0.0741  0.4094  0.2861 x2  1 Sb 1.90
F  0.1357  0.9246  0.6494 x2  1 Sb 1.90
F  0.2552  0.8766  0.2325 x2  1 Sb 1.91
F  0.3465  0.3013  0.5401 x2  1 Sb 1.89
F  0.4514  0.4589  0.9015 x2  1 F 1.41
F  0.4648  0.2026  0.1698 x2  1 Sb 1.92

***

Entry 6:
Here is a relaxed structure of Dy3Y5Se8 from Alexandria. Energies are from PBE.

Output
theoretical density	6.74	Mg/m³
raw total energy	-102.063	eV/f.u.
formation energy without anion corrections	-1.7538	eV per atom
crystal system	trigonal
N(E_F)	0.684	states/eV per atom

a b c (Å): 8.1606 8.1606 20.0344
angles (deg): 90.00 90.00 120.00
With the nearest neighbours (Å) after each atom.
Space group R-3m (No. 166, hexagonal axes)
Symmetry-distinct sites (fractional):
Dy  0.0000  0.5000  0.0000 x9  6 Se 2.88
Y  0.0000  0.0000  0.0000 x3  6 Se 2.89
Y  0.0000  0.0000  0.5000 x3  6 Se 2.89
Y  0.0000  0.5000  0.5000 x9  6 Se 2.89
Se  0.0000  0.0000  0.2504 x6  3 Dy 2.88, 3 Y 2.89
Se  0.0006  0.5003  0.2503 x18  2 Dy 2.88, 4 Y 2.89

***

Entry 7:
Here is a relaxed structure of La2Ga2Ag15 from Alexandria. Energies are from PBE.

Output
calculated formation energy	-0.0913	eV/atom
theoretical density	8.73	Mg/m³
raw total energy	-60.413	eV/f.u.
crystal system	trigonal
N(E_F)	0.517	states/eV per atom

a b c (Å): 9.7095 9.7095 14.2187
angles (deg): 90.00 90.00 120.00
With the nearest neighbours (Å) after each atom.
Space group R-3m (No. 166, hexagonal axes)
Symmetry-distinct sites (fractional):
La  0.0000  0.0000  0.1618 x6  18 Ag 3.37-3.72, 1 Ga 3.48
Ga  0.0000  0.0000  0.4062 x6  1 Ga 2.67, 2 Ag 2.99
Ag  0.0000  0.3065  0.5000 x18  8 Ag 2.81-2.98
Ag  0.0000  0.5000  0.0000 x9  8 Ag 2.81-2.83, 2 Ga 2.99
Ag  0.0041  0.5021  0.6536 x18  8 Ag 2.79-2.97, 1 Ga 3.09

***

Entry 8:
Here is a relaxed structure of K3BaNa3 from Alexandria. Energies are from PBE.

Output
calculated formation energy	0.3075	eV/atom
theoretical density	1.15	Mg/m³
raw total energy	-7.020	eV/f.u.
crystal system	cubic
N(E_F)	0.711	states/eV per atom

a b c (Å): 9.7768 9.7768 9.7768
angles (deg): 90.00 90.00 90.00
With the nearest neighbours (Å) after each atom.
Space group Pm-3n (No. 223)
Symmetry-distinct sites (fractional):
K  0.0000  0.2500  0.5000 x6  4 Na 3.46
Ba  0.0000  0.0000  0.0000 x2  12 K 5.47, 12 Na 5.47
Na  0.0000  0.5000  0.2500 x6  4 K 3.46

***

Entry 9:
Here is a relaxed structure of NaY2VGe from Alexandria. Energies are from PBE.

Output
calculated formation energy	0.2762	eV/atom
theoretical density	3.97	Mg/m³
raw total energy	-26.602	eV/f.u.
crystal system	tetragonal
N(E_F)	0.958	states/eV per atom

a b c (Å): 5.2589 5.2589 4.9057
angles (deg): 90.00 90.00 90.00
With the nearest neighbours (Å) after each atom.
Space group P4/mmm (No. 123)
Symmetry-distinct sites (fractional):
Na  0.0000  0.0000  0.0000 x1  8 Y 3.60, 4 Ge 3.72
Y  0.0000  0.5000  0.5000 x2  2 V 2.63
V  0.5000  0.5000  0.5000 x1  2 Ge 2.45, 4 Y 2.63
Ge  0.5000  0.5000  0.0000 x1  2 V 2.45

***

Entry 10:
Here is a relaxed structure of Th3InAu from Alexandria. Energies are from PBE.

Output
calculated formation energy	-0.2276	eV/atom
theoretical density	11.36	Mg/m³
raw total energy	-29.413	eV/f.u.
distance to the lowest polymorph of the same formula	0.06	eV/f.u.
crystal system	monoclinic
N(E_F)	1.243	states/eV per atom

a b c (Å): 5.9482 6.6918 7.6101
angles (deg): 90.00 103.35 90.00
With the nearest neighbours (Å) after each atom.
Space group P2_1/m (No. 11)
Symmetry-distinct sites (fractional):
Th  0.1528  0.2500  0.1447 x2  2 Au 3.12-3.19, 1 In 3.33
Th  0.3107  0.0107  0.6591 x4  2 Au 3.05-3.22, 1 Th 3.20, 2 In 3.31-3.34
In  0.1580  0.7500  0.2801 x2  1 Au 2.83
Au  0.3948  0.7500  0.9973 x2  1 In 2.83, 3 Th 3.05-3.12

***

Entry 11:
Here is a relaxed structure of Ta2AgW from Alexandria. Energies are from PBE.

Output
calculated formation energy	0.3513	eV/atom
theoretical density	15.43	Mg/m³
raw total energy	-38.104	eV/f.u.
distance to the lowest polymorph of the same formula	0.98	eV/f.u.
crystal system	orthorhombic
N(E_F)	1.054	states/eV per atom

a b c (Å): 3.4394 4.5380 9.0110
angles (deg): 90.00 90.00 90.00
With the nearest neighbours (Å) after each atom.
Space group Imm2 (No. 44)
Symmetry-distinct sites (fractional):
Ta  0.0000  0.0000  0.0000 x2  2 W 2.70, 4 Ag 2.85, 2 Ta 2.85
Ta  0.0000  0.5000  0.2473 x2  4 W 2.85, 4 Ta 2.85-3.18, 4 Ag 2.90-3.14
Ag  0.0000  0.0000  0.4875 x2  8 Ta 2.85-3.14, 4 W 2.88-3.16
W  0.0000  0.5000  0.7313 x2  6 Ta 2.70-2.85, 2 Ag 2.88

***

Entry 12:
Here is a relaxed structure of NaTmSc2Te4 from Alexandria. Energies are from PBE.

Output
theoretical density	5.97	Mg/m³
raw total energy	-40.422	eV/f.u.
formation energy without anion corrections	-1.1752	eV per atom
crystal system	monoclinic
N(E_F)	0.519	states/eV per atom

a b c (Å): 7.3867 4.2209 7.4597
angles (deg): 90.00 108.67 90.00
With the nearest neighbours (Å) after each atom.
Space group P2/m (No. 10)
Symmetry-distinct sites (fractional):
Na  0.0000  0.0000  0.0000 x1  6 Te 3.07-3.09
Tm  0.5000  0.5000  0.0000 x1  6 Te 3.05-3.06
Sc  0.0000  0.5000  0.5000 x1  6 Te 2.98-2.99
Sc  0.5000  0.0000  0.5000 x1  6 Te 2.95-2.96
Te  0.2483  0.0000  0.7399 x2  3 Sc 2.96-2.99, 2 Tm 3.06, 1 Na 3.07
Te  0.2584  0.5000  0.2643 x2  3 Sc 2.95-2.98, 1 Tm 3.05, 2 Na 3.09

***

Entry 13:
Here is a relaxed structure of Sm4Y5Tl from Alexandria. Energies are from PBE.

Output
calculated formation energy	0.1088	eV/atom
theoretical density	6.14	Mg/m³
raw total energy	-52.475	eV/f.u.
distance to the lowest polymorph of the same formula	1.73	eV/f.u.
crystal system	tetragonal
N(E_F)	1.506	states/eV per atom

a b c (Å): 10.7471 10.7471 5.8580
angles (deg): 90.00 90.00 90.00
With the nearest neighbours (Å) after each atom.
Space group I4mm (No. 107)
Symmetry-distinct sites (fractional):
Sm  0.0000  0.3166  0.0000 x8  3 Y 3.39-3.59, 1 Tl 3.79
Y  0.0000  0.0000  0.8058 x2  2 Tl 2.82-3.04
Y  0.1848  0.1848  0.5035 x8  1 Tl 3.08, 1 Y 3.32, 2 Sm 3.39
Tl  0.0000  0.0000  0.2865 x2  6 Y 2.82-3.08

***

Entry 14:
Here is a relaxed structure of NaAg12Pd6 from Alexandria. Energies are from PBE.

Output
calculated formation energy	0.1427	eV/atom
theoretical density	8.81	Mg/m³
raw total energy	-63.980	eV/f.u.
crystal system	trigonal
N(E_F)	0.220	states/eV per atom

a b c (Å): 12.0841 12.0841 8.7457
angles (deg): 90.00 90.00 120.00
With the nearest neighbours (Å) after each atom.
Space group R-3m (No. 166, hexagonal axes)
Symmetry-distinct sites (fractional):
Na  0.0000  0.0000  0.0000 x3  6 Ag 2.94
Ag  0.0000  0.3868  0.5000 x18  3 Ag 2.74-2.79, 4 Pd 2.75-2.83
Ag  0.0817  0.1635  0.2731 x18  4 Pd 2.74-2.95, 4 Ag 2.79-2.96, 1 Na 2.94
Pd  0.0738  0.5369  0.2307 x18  8 Ag 2.74-2.95, 2 Pd 2.94

***

Entry 15:
Here is a relaxed structure of PmPrDy from Alexandria. Energies are from PBE.

Output
calculated formation energy	0.1602	eV/atom
theoretical density	7.19	Mg/m³
raw total energy	-13.652	eV/f.u.
distance to the lowest polymorph of the same formula	0.44	eV/f.u.
crystal system	orthorhombic
N(E_F)	1.333	states/eV per atom

a b c (Å): 9.8250 14.5007 8.7263
angles (deg): 90.00 90.00 90.00
With the nearest neighbours (Å) after each atom.
Space group Ima2 (No. 46)
Symmetry-distinct sites (fractional):
Pm  0.2500  0.0024  0.0000 x4  5 Dy 3.47-3.85, 4 Pr 3.62-3.67, 2 Pm 3.72-3.83
Pm  0.2500  0.1906  0.3083 x4  6 Pr 3.61-3.80, 4 Dy 3.63-3.74, 1 Pm 3.83
Pm  0.2500  0.6830  0.7944 x4  6 Dy 3.26-3.43, 2 Pr 3.62
Pr  0.0000  0.0000  0.3126 x4  2 Pr 3.57, 6 Pm 3.62-3.70, 2 Dy 3.85
Pr  0.0812  0.1037  0.6721 x8  4 Dy 3.26-3.44, 3 Pr 3.32-3.57, 2 Pm 3.61-3.62
Dy  0.0235  0.6924  0.5104 x8  4 Pm 3.33-3.63, 2 Pr 3.38-3.43
Dy  0.2500  0.6035  0.1435 x4  3 Pm 3.26-3.47, 4 Pr 3.26-3.44

***

Entry 16:
Here is a relaxed structure of BaAgTe2 from Alexandria. Energies are from PBE.

Output
theoretical density	6.43	Mg/m³
raw total energy	-13.571	eV/f.u.
formation energy without anion corrections	-0.6283	eV per atom
crystal system	tetragonal
N(E_F)	0.125	states/eV per atom

a b c (Å): 6.0082 6.0082 7.1613
angles (deg): 90.00 90.00 90.00
With the nearest neighbours (Å) after each atom.
Space group I4/mmm (No. 139)
Symmetry-distinct sites (fractional):
Ba  0.0000  0.0000  0.0000 x2  8 Te 3.50, 2 Ag 3.58
Ag  0.0000  0.0000  0.5000 x2  8 Te 3.50, 2 Ba 3.58
Te  0.0000  0.5000  0.2500 x4  4 Ba 3.50, 4 Ag 3.50, 2 Te 3.58

***

Entry 17:
Here is a relaxed structure of MgSi2Ni3 from Alexandria. Energies are from PBE.

Output
theoretical density	5.22	Mg/m³
raw total energy	-32.001	eV/f.u.
formation energy without anion corrections	-0.3695	eV per atom
crystal system	orthorhombic
N(E_F)	0.428	states/eV per atom

a b c (Å): 8.6819 7.7610 4.8459
angles (deg): 90.00 90.00 90.00
With the nearest neighbours (Å) after each atom.
Space group Cmcm (No. 63)
Symmetry-distinct sites (fractional):
Mg  0.0000  0.1868  0.2500 x4  7 Ni 2.71-2.94, 4 Si 3.02
Si  0.2285  0.5000  0.0000 x8  6 Ni 2.28-2.44, 2 Si 2.42
Ni  0.0000  0.4642  0.7500 x4  4 Si 2.34, 4 Ni 2.44-2.49
Ni  0.1883  0.2303  0.7500 x8  4 Si 2.28-2.44, 1 Ni 2.44

***

Entry 18:
Here is a relaxed structure of CoIrRh5 from Alexandria. Energies are from PBE.

Output
calculated formation energy	0.6845	eV/atom
theoretical density	11.19	Mg/m³
raw total energy	-47.933	eV/f.u.
distance to the lowest polymorph of the same formula	3.47	eV/f.u.
crystal system	orthorhombic
N(E_F)	1.535	states/eV per atom

a b c (Å): 4.9902 6.5848 6.9187
angles (deg): 90.00 90.00 90.00
With the nearest neighbours (Å) after each atom.
Space group Imm2 (No. 44)
Symmetry-distinct sites (fractional):
Co  0.0000  0.0000  0.0000 x2  2 Ir 2.50, 4 Rh 2.53-2.59
Ir  0.0000  0.5000  0.5136 x2  3 Rh 2.34-2.46, 2 Co 2.50
Rh  0.0000  0.1858  0.3207 x4  3 Rh 2.45-2.66, 1 Ir 2.46, 1 Co 2.53
Rh  0.0000  0.5000  0.8513 x2  1 Ir 2.34, 2 Rh 2.55
Rh  0.2405  0.0000  0.6690 x4  5 Rh 2.40-2.66, 1 Co 2.59